The following is a DFT calculation (meta-GGA SCAN) of a PBEsol-optimized structure of Ge2PbO.

Output
Uncorrected formation energy, kJ per mole of atoms: 45
Space-group type: Fm-3m (225)

a = 4.659 Å, b = 4.659 Å, c = 4.659 Å
α = 60.00°, β = 60.00°, γ = 60.00°
Fractional coordinates of all 4 atoms:
Ge1 0.750 0.750 0.750
Ge2 0.250 0.250 0.250
Pb1 0.500 0.500 0.500
O1 0.000 0.000 0.000